! Pm4MoI5 (PBE, optimized geometry); values from VASP
! - Uncorrected formation energy: -0.88 eV/atom
&SYSTEM
  ibrav = 0, nat = 10, ntyp = 3
/
ATOMIC_SPECIES
Pm 145.00 Pm.upf
Mo 95.94 Mo.upf
I 126.90 I.upf
CELL_PARAMETERS angstrom
9.998 -2.070 0.000
9.998 2.070 0.000
-2.354 0.000 9.423
ATOMIC_POSITIONS crystal
Pm 0.001 0.001 0.225
Pm 0.364 0.364 0.930
Pm 0.636 0.636 0.070
Pm 0.999 0.999 0.775
Mo 0.500 0.500 0.000
I 0.167 0.167 0.328
I 0.169 0.169 0.841
I 0.500 0.500 0.500
I 0.831 0.831 0.159
I 0.833 0.833 0.672



! Sr4LiPt (PBE, optimized geometry); values from VASP
! - Energy of formation from the pure elements: -27.9 kJ per mole of atoms
! - Energy above the most stable polymorph in this dataset: 35 meV per atom
&SYSTEM
  ibrav = 0, nat = 12, ntyp = 3
/
ATOMIC_SPECIES
Sr 87.62 Sr.upf
Li 6.94 Li.upf
Pt 195.08 Pt.upf
CELL_PARAMETERS angstrom
5.015 -8.273 0.000
5.015 8.273 0.000
-4.315 0.000 6.239
ATOMIC_POSITIONS crystal
Sr 0.059 0.653 0.853
Sr 0.188 0.276 0.723
Sr 0.276 0.188 0.223
Sr 0.347 0.941 0.647
Sr 0.653 0.059 0.353
Sr 0.724 0.812 0.777
Sr 0.812 0.724 0.277
Sr 0.941 0.347 0.147
Li 0.375 0.625 0.250
Li 0.625 0.375 0.750
Pt 0.069 0.931 0.750
Pt 0.931 0.069 0.250



! AcBiHPt (PBE, optimized geometry); values from VASP
! - Energy above the most stable polymorph in this dataset: 0 meV per atom
&SYSTEM
  ibrav = 0, nat = 4, ntyp = 4
/
ATOMIC_SPECIES
Ac 227.00 Ac.upf
Bi 208.98 Bi.upf
H 1.01 H.upf
Pt 195.08 Pt.upf
CELL_PARAMETERS angstrom
4.801 0.000 0.000
-2.400 4.158 0.000
0.000 0.000 4.432
ATOMIC_POSITIONS crystal
Ac 0.000 0.000 0.000
Bi 0.667 0.333 0.522
H 0.333 0.667 0.023
Pt 0.333 0.667 0.405



! Zn2CdTcGe (PBE, optimized geometry); values from VASP
! - Energy of formation from the pure elements: 106.7 kJ per mole of atoms
&SYSTEM
  ibrav = 0, nat = 5, ntyp = 4
/
ATOMIC_SPECIES
Zn 65.41 Zn.upf
Cd 112.41 Cd.upf
Tc 98.00 Tc.upf
Ge 72.64 Ge.upf
CELL_PARAMETERS angstrom
4.657 0.000 0.000
0.000 4.657 0.000
0.000 0.000 5.170
ATOMIC_POSITIONS crystal
Zn 0.000 0.500 0.000
Zn 0.500 0.000 0.000
Cd 0.000 0.000 0.500
Tc 0.500 0.500 0.500
Ge 0.000 0.000 0.000



! SrBeCo4 (PBE, optimized geometry); values from VASP
! - Energy of formation from the pure elements: 41.0 kJ per mole of atoms
&SYSTEM
  ibrav = 0, nat = 6, ntyp = 3
/
ATOMIC_SPECIES
Sr 87.62 Sr.upf
Be 9.01 Be.upf
Co 58.93 Co.upf
CELL_PARAMETERS angstrom
0.000 3.509 3.509
3.509 0.000 3.509
3.509 3.509 0.000
ATOMIC_POSITIONS crystal
Sr 0.000 0.000 0.000
Be 0.750 0.750 0.750
Co 0.377 0.377 0.377
Co 0.377 0.377 0.870
Co 0.377 0.870 0.377
Co 0.870 0.377 0.377



! MgAlSb2 (PBE, optimized geometry); values from VASP
! - Uncorrected formation energy: 0.02 eV/atom
! - Energy above the most stable polymorph in this dataset: 95 meV per atom
&SYSTEM
  ibrav = 0, nat = 4, ntyp = 3
/
ATOMIC_SPECIES
Mg 24.30 Mg.upf
Al 26.98 Al.upf
Sb 121.76 Sb.upf
CELL_PARAMETERS angstrom
4.256 0.000 0.000
0.000 3.976 0.000
-1.993 0.000 5.928
ATOMIC_POSITIONS crystal
Mg 0.000 0.000 0.000
Al 0.500 0.000 0.500
Sb 0.251 0.500 0.732
Sb 0.749 0.500 0.268



! NaNd2PaN4 (PBE, optimized geometry); values from VASP
! - Uncorrected formation energy: -1.16 eV/atom
&SYSTEM
  ibrav = 0, nat = 8, ntyp = 4
/
ATOMIC_SPECIES
Na 22.99 Na.upf
Nd 144.24 Nd.upf
Pa 231.04 Pa.upf
N 14.01 N.upf
CELL_PARAMETERS angstrom
6.138 0.000 0.000
0.000 3.653 0.000
-1.898 0.000 5.848
ATOMIC_POSITIONS crystal
Na 0.000 0.000 0.000
Nd 0.000 0.500 0.500
Nd 0.500 0.000 0.500
Pa 0.500 0.500 0.000
N 0.259 0.000 0.751
N 0.304 0.500 0.238
N 0.696 0.500 0.762
N 0.741 0.000 0.249



! Ce4InNi2 (PBE, optimized geometry); values from VASP
! - Energy of formation from the pure elements: -11.4 kJ per mole of atoms
&SYSTEM
  ibrav = 0, nat = 7, ntyp = 3
/
ATOMIC_SPECIES
Ce 140.12 Ce.upf
In 114.82 In.upf
Ni 58.69 Ni.upf
CELL_PARAMETERS angstrom
1.961 1.132 13.170
-1.961 1.132 13.170
0.000 -2.264 13.170
ATOMIC_POSITIONS crystal
Ce 0.103 0.103 0.103
Ce 0.311 0.311 0.311
Ce 0.689 0.689 0.689
Ce 0.897 0.897 0.897
In 0.500 0.500 0.500
Ni 0.395 0.395 0.395
Ni 0.605 0.605 0.605



! Pm3DyZn2 (PBE, optimized geometry); values from VASP
! - Energy of formation from the pure elements: -19.7 kJ per mole of atoms
&SYSTEM
  ibrav = 0, nat = 6, ntyp = 3
/
ATOMIC_SPECIES
Pm 145.00 Pm.upf
Dy 162.50 Dy.upf
Zn 65.41 Zn.upf
CELL_PARAMETERS angstrom
3.657 0.000 0.000
0.000 3.657 0.000
0.000 0.000 12.301
ATOMIC_POSITIONS crystal
Pm 0.000 0.000 0.000
Pm 0.000 0.000 0.294
Pm 0.000 0.000 0.706
Dy 0.500 0.500 0.500
Zn 0.500 0.500 0.147
Zn 0.500 0.500 0.853



! Pr6Ga2N (PBE, optimized geometry); values from VASP
! - Uncorrected formation energy: -0.52 eV/atom
! - Energy above the most stable polymorph in this dataset: 0 meV per atom
&SYSTEM
  ibrav = 0, nat = 18, ntyp = 3
/
ATOMIC_SPECIES
Pr 140.91 Pr.upf
Ga 69.72 Ga.upf
N 14.01 N.upf
CELL_PARAMETERS angstrom
6.592 0.000 0.000
0.000 8.356 0.000
-5.749 0.000 9.390
ATOMIC_POSITIONS crystal
Pr 0.122 0.145 0.448
Pr 0.122 0.355 0.948
Pr 0.314 0.718 0.442
Pr 0.314 0.782 0.942
Pr 0.358 0.039 0.242
Pr 0.358 0.461 0.742
Pr 0.642 0.539 0.258
Pr 0.642 0.961 0.758
Pr 0.686 0.218 0.058
Pr 0.686 0.282 0.558
Pr 0.878 0.645 0.052
Pr 0.878 0.855 0.552
Ga 0.199 0.113 0.766
Ga 0.199 0.387 0.266
Ga 0.801 0.613 0.734
Ga 0.801 0.887 0.234
N 0.500 0.000 0.500
N 0.500 0.500 0.000



! Nd2PAu (PBE, optimized geometry); values from VASP
! - Energy of formation from the pure elements: -103.0 kJ per mole of atoms
&SYSTEM
  ibrav = 0, nat = 4, ntyp = 3
/
ATOMIC_SPECIES
Nd 144.24 Nd.upf
P 30.97 P.upf
Au 196.97 Au.upf
CELL_PARAMETERS angstrom
2.082 1.202 7.247
-2.082 1.202 7.247
0.000 -2.404 7.247
ATOMIC_POSITIONS crystal
Nd 0.241 0.241 0.241
Nd 0.759 0.759 0.759
P 0.500 0.500 0.500
Au 0.000 0.000 0.000



! Th6AsC3 (PBE, optimized geometry); values from VASP
! - Energy of formation from the pure elements: -34.7 kJ per mole of atoms
&SYSTEM
  ibrav = 0, nat = 20, ntyp = 3
/
ATOMIC_SPECIES
Th 232.04 Th.upf
As 74.92 As.upf
C 12.01 C.upf
CELL_PARAMETERS angstrom
11.129 0.000 0.000
0.000 3.745 0.000
-3.357 0.000 10.927
ATOMIC_POSITIONS crystal
Th 0.000 0.250 0.133
Th 0.000 0.750 0.867
Th 0.116 0.750 0.443
Th 0.214 0.250 0.746
Th 0.304 0.250 0.272
Th 0.332 0.750 0.027
Th 0.425 0.250 0.596
Th 0.575 0.750 0.404
Th 0.668 0.250 0.973
Th 0.696 0.750 0.728
Th 0.786 0.750 0.254
Th 0.884 0.250 0.557
As 0.456 0.750 0.823
As 0.544 0.250 0.177
C 0.053 0.750 0.650
C 0.160 0.250 0.949
C 0.357 0.750 0.429
C 0.643 0.250 0.571
C 0.840 0.750 0.051
C 0.947 0.250 0.350



! LaDy2ErSc (PBE, optimized geometry); values from VASP
! - Energy of formation from the pure elements: 20.3 kJ per mole of atoms
&SYSTEM
  ibrav = 0, nat = 5, ntyp = 4
/
ATOMIC_SPECIES
La 138.91 La.upf
Dy 162.50 Dy.upf
Er 167.26 Er.upf
Sc 44.96 Sc.upf
CELL_PARAMETERS angstrom
3.574 0.000 0.000
0.000 5.458 0.000
0.000 0.000 8.351
ATOMIC_POSITIONS crystal
La 0.000 0.000 0.000
Dy 0.000 0.500 0.314
Dy 0.000 0.500 0.686
Er 0.500 0.000 0.500
Sc 0.500 0.500 0.000



! AgHg8I2 (PBE, optimized geometry); values from VASP
! - Uncorrected formation energy: -0.04 eV/atom
&SYSTEM
  ibrav = 0, nat = 11, ntyp = 3
/
ATOMIC_SPECIES
Ag 107.87 Ag.upf
Hg 200.59 Hg.upf
I 126.90 I.upf
CELL_PARAMETERS angstrom
9.951 -2.110 0.000
9.951 2.110 0.000
-0.040 0.000 8.070
ATOMIC_POSITIONS crystal
Ag 0.000 0.000 0.000
Hg 0.088 0.088 0.486
Hg 0.140 0.140 0.004
Hg 0.354 0.354 0.282
Hg 0.469 0.469 0.761
Hg 0.531 0.531 0.239
Hg 0.646 0.646 0.718
Hg 0.860 0.860 0.996
Hg 0.912 0.912 0.514
I 0.285 0.285 0.760
I 0.715 0.715 0.240



! Al2ZnNi2 (PBE, optimized geometry); values from VASP
! - Energy of formation from the pure elements: -36.1 kJ per mole of atoms
&SYSTEM
  ibrav = 0, nat = 10, ntyp = 3
/
ATOMIC_SPECIES
Al 26.98 Al.upf
Zn 65.41 Zn.upf
Ni 58.69 Ni.upf
CELL_PARAMETERS angstrom
6.944 0.000 0.000
0.000 6.944 0.000
0.000 0.000 2.733
ATOMIC_POSITIONS crystal
Al 0.139 0.361 0.000
Al 0.361 0.861 0.000
Al 0.639 0.139 0.000
Al 0.861 0.639 0.000
Zn 0.000 0.000 0.000
Zn 0.500 0.500 0.000
Ni 0.156 0.656 0.500
Ni 0.344 0.156 0.500
Ni 0.656 0.844 0.500
Ni 0.844 0.344 0.500



! LaCd2Os (PBE, optimized geometry); values from VASP
! - Energy of formation from the pure elements: 15.5 kJ per mole of atoms
&SYSTEM
  ibrav = 0, nat = 4, ntyp = 3
/
ATOMIC_SPECIES
La 138.91 La.upf
Cd 112.41 Cd.upf
Os 190.23 Os.upf
CELL_PARAMETERS angstrom
3.474 0.000 0.000
0.000 3.474 0.000
0.000 0.000 7.715
ATOMIC_POSITIONS crystal
La 0.000 0.000 0.000
Cd 0.000 0.000 0.418
Cd 0.500 0.500 0.651
Os 0.500 0.500 0.225



! CdAg5F8 (PBE, optimized geometry); values from VASP
! - Uncorrected formation energy: -1.26 eV/atom
&SYSTEM
  ibrav = 0, nat = 14, ntyp = 3
/
ATOMIC_SPECIES
Cd 112.41 Cd.upf
Ag 107.87 Ag.upf
F 19.00 F.upf
CELL_PARAMETERS angstrom
-3.581 3.581 4.094
3.581 -3.581 4.094
3.581 3.581 -4.094
ATOMIC_POSITIONS crystal
Cd 0.000 0.000 0.000
Ag 0.146 0.352 0.726
Ag 0.250 0.750 0.500
Ag 0.580 0.854 0.205
Ag 0.626 0.420 0.274
Ag 0.648 0.374 0.795
F 0.250 0.471 0.170
F 0.302 0.081 0.830
F 0.372 0.093 0.323
F 0.529 0.698 0.779
F 0.770 0.048 0.677
F 0.907 0.230 0.279
F 0.919 0.750 0.221
F 0.952 0.628 0.721



! Ce4NiPt3 (PBE, optimized geometry); values from VASP
! - Energy of formation from the pure elements: -86.0 kJ per mole of atoms
&SYSTEM
  ibrav = 0, nat = 8, ntyp = 3
/
ATOMIC_SPECIES
Ce 140.12 Ce.upf
Ni 58.69 Ni.upf
Pt 195.08 Pt.upf
CELL_PARAMETERS angstrom
3.822 0.000 0.000
0.000 4.379 0.000
0.000 0.000 10.969
ATOMIC_POSITIONS crystal
Ce 0.000 0.000 0.000
Ce 0.000 0.500 0.266
Ce 0.500 0.000 0.488
Ce 0.500 0.500 0.769
Ni 0.500 0.000 0.221
Pt 0.000 0.000 0.727
Pt 0.000 0.500 0.535
Pt 0.500 0.500 0.046



! Ir2OsRh4 (PBE, optimized geometry); values from VASP
! - Energy of formation from the pure elements: 51.7 kJ per mole of atoms
! - Energy above the most stable polymorph in this dataset: 337 meV per atom
&SYSTEM
  ibrav = 0, nat = 14, ntyp = 3
/
ATOMIC_SPECIES
Ir 192.22 Ir.upf
Os 190.23 Os.upf
Rh 102.91 Rh.upf
CELL_PARAMETERS angstrom
7.159 0.000 0.000
0.000 7.159 0.000
0.000 0.000 4.323
ATOMIC_POSITIONS crystal
Ir 0.133 0.133 0.000
Ir 0.367 0.633 0.500
Ir 0.633 0.367 0.500
Ir 0.867 0.867 0.000
Os 0.000 0.000 0.500
Os 0.500 0.500 0.000
Rh 0.095 0.355 0.500
Rh 0.145 0.595 0.000
Rh 0.355 0.095 0.500
Rh 0.405 0.855 0.000
Rh 0.595 0.145 0.000
Rh 0.645 0.905 0.500
Rh 0.855 0.405 0.000
Rh 0.905 0.645 0.500



! BPdS2 (PBE, optimized geometry); values from VASP
! - Uncorrected formation energy: 0.00 eV/atom
&SYSTEM
  ibrav = 0, nat = 4, ntyp = 3
/
ATOMIC_SPECIES
B 10.81 B.upf
Pd 106.42 Pd.upf
S 32.06 S.upf
CELL_PARAMETERS angstrom
1.978 1.142 5.769
-1.978 1.142 5.769
0.000 -2.285 5.769
ATOMIC_POSITIONS crystal
B 0.000 0.000 0.000
Pd 0.500 0.500 0.500
S 0.098 0.098 0.098
S 0.902 0.902 0.902



! CsZr2SnN (PBE, optimized geometry); values from VASP
! - Uncorrected formation energy: 1.51 eV/atom
&SYSTEM
  ibrav = 0, nat = 5, ntyp = 4
/
ATOMIC_SPECIES
Cs 132.91 Cs.upf
Zr 91.22 Zr.upf
Sn 118.71 Sn.upf
N 14.01 N.upf
CELL_PARAMETERS angstrom
5.659 0.000 0.000
0.000 5.659 0.000
0.000 0.000 4.338
ATOMIC_POSITIONS crystal
Cs 0.000 0.000 0.000
Zr 0.000 0.500 0.500
Zr 0.500 0.000 0.500
Sn 0.500 0.500 0.500
N 0.500 0.500 0.000



! TiGePd2 (PBE, optimized geometry); values from VASP
! - Energy of formation from the pure elements: -48.9 kJ per mole of atoms
&SYSTEM
  ibrav = 0, nat = 4, ntyp = 3
/
ATOMIC_SPECIES
Ti 47.87 Ti.upf
Ge 72.64 Ge.upf
Pd 106.42 Pd.upf
CELL_PARAMETERS angstrom
3.390 0.000 0.000
0.000 3.390 0.000
0.000 0.000 5.527
ATOMIC_POSITIONS crystal
Ti 0.000 0.000 0.000
Ge 0.000 0.000 0.500
Pd 0.500 0.500 0.242
Pd 0.500 0.500 0.758



! Cs2PuAg2Te4 (PBE, optimized geometry); values from VASP
! - Uncorrected formation energy: -0.77 eV/atom
&SYSTEM
  ibrav = 0, nat = 9, ntyp = 4
/
ATOMIC_SPECIES
Cs 132.91 Cs.upf
Pu 244.00 Pu.upf
Ag 107.87 Ag.upf
Te 127.60 Te.upf
CELL_PARAMETERS angstrom
8.321 -2.291 0.000
8.321 2.291 0.000
-2.797 0.000 8.588
ATOMIC_POSITIONS crystal
Cs 0.134 0.134 0.071
Cs 0.866 0.866 0.929
Pu 0.000 0.000 0.500
Ag 0.319 0.319 0.517
Ag 0.681 0.681 0.483
Te 0.192 0.192 0.678
Te 0.487 0.487 0.725
Te 0.513 0.513 0.275
Te 0.808 0.808 0.322



! TeMoPb2 (PBE, optimized geometry); values from VASP
! - Uncorrected formation energy: 0.93 eV/atom
&SYSTEM
  ibrav = 0, nat = 8, ntyp = 3
/
ATOMIC_SPECIES
Te 127.60 Te.upf
Mo 95.94 Mo.upf
Pb 207.20 Pb.upf
CELL_PARAMETERS angstrom
-3.142 3.142 7.638
3.142 -3.142 7.638
3.142 3.142 -7.638
ATOMIC_POSITIONS crystal
Te 0.000 0.000 0.000
Te 0.750 0.250 0.500
Mo 0.250 0.750 0.500
Mo 0.500 0.500 0.000
Pb 0.181 0.625 0.056
Pb 0.375 0.431 0.556
Pb 0.569 0.125 0.944
Pb 0.875 0.819 0.444



In eV per cell, the DFT total energy values for the records above are, in order, -46.39; -32.83; -20.43; -12.92; -31.28; -13.48; -62.95; -38.86; -22.63; -95.44; -22.49; -160.87; -23.97; -8.76; -44.38; -17.34; -47.77; -54.77; -109.21; -20.12; -22.73; -24.92; -41.23; -35.31.
In g/cm3, the ρ values for the records above are, in order, 5.58; 3.54; 11.86; 6.13; 6.39; 4.88; 7.58; 7.51; 7.35; 6.41; 7.88; 10.96; 6.89; 9.63; 5.97; 9.88; 6.36; 10.89; 14.78; 3.85; 5.35; 8.72; 6.27; 7.02.